Record 1
## BeSbW2 (PBE)

Data for a relaxed structure of BeSbW2.

## Properties
Its space-group type is C2/m. Its formation energy (no corrections) is 0.51 eV/atom. The density of states at the Fermi level is 1.5 states/eV/f.u. The relative energy among the computed polymorphs comes out at 276 meV per atom. Its total magnetization is 0.000 μB per cell.

POSCAR file:
```
BeSbW2
1.0
4.467 -1.602 0.000
4.467 1.602 0.000
-0.680 0.000 4.610
Be Sb W
1 1 2
direct
0.000 0.000 0.000
0.500 0.500 0.500
0.253 0.253 0.786
0.747 0.747 0.214
```

=====

Record 2
## BeZn2SbW (PBE)

Data for a relaxed structure of BeZn2SbW.

## Properties
Its space-group type is P4/mmm. Its formation energy (no corrections) is 1.17 eV/atom. The density of states at the Fermi level is 2.7 states/eV/f.u. Its total magnetization is 0.000 μB per cell.

POSCAR file:
```
BeZn2SbW
1.0
4.892 0.000 0.000
0.000 4.892 0.000
0.000 0.000 4.471
Be Zn Sb W
1 2 1 1
direct
0.000 0.000 0.000
0.000 0.500 0.500
0.500 0.000 0.500
0.500 0.500 0.000
0.000 0.000 0.500
```

=====

Record 3
## ZrBeSb2W (PBE)

Data for a relaxed structure of ZrBeSb2W.

## Properties
Its space-group type is P4/mmm. Its formation energy (no corrections) is 1.76 eV/atom. The density of states at the Fermi level is 5.0 states/eV/f.u. Its total magnetization is 0.008 μB per cell.

POSCAR file:
```
ZrBeSb2W
1.0
5.343 0.000 0.000
0.000 5.343 0.000
0.000 0.000 4.376
Zr Be Sb W
1 1 2 1
direct
0.000 0.000 0.000
0.000 0.000 0.500
0.000 0.500 0.000
0.500 0.000 0.000
0.500 0.500 0.500
```

=====

Record 4
## YBeSb4 (PBE)

Data for a relaxed structure of YBeSb4.

## Properties
Its space-group type is F-43m. Its formation energy (no corrections) is 0.39 eV/atom. The density of states at the Fermi level is 5.3 states/eV/f.u. Its total magnetization is 0.000 μB per cell.

POSCAR file:
```
YBeSb4
1.0
0.000 4.359 4.359
4.359 0.000 4.359
4.359 4.359 0.000
Y Be Sb
1 1 4
direct
0.000 0.000 0.000
0.250 0.250 0.250
0.127 0.624 0.624
0.624 0.127 0.624
0.624 0.624 0.127
0.624 0.624 0.624
```

=====

Record 5
## Y2BeSb (PBE)

Data for a relaxed structure of Y2BeSb.

## Properties
Its space-group type is F-43m. Its formation energy (no corrections) is 0.29 eV/atom. The density of states at the Fermi level is 5.8 states/eV/f.u. The relative energy among the computed polymorphs comes out at 843 meV per atom. Its total magnetization is 0.001 μB per cell.

POSCAR file:
```
Y2BeSb
1.0
0.000 3.626 3.626
3.626 0.000 3.626
3.626 3.626 0.000
Y Be Sb
2 1 1
direct
0.000 0.000 0.000
0.250 0.250 0.250
0.750 0.750 0.750
0.500 0.500 0.500
```

=====

Record 6
## Y2BeSb2 (PBE)

Data for a relaxed structure of Y2BeSb2.

## Properties
Its space-group type is I4/mmm. Its formation energy (no corrections) is -0.20 eV/atom. The density of states at the Fermi level is 2.7 states/eV/f.u. The relative energy among the computed polymorphs comes out at 244 meV per atom. Its total magnetization is 1.363 μB per cell.

POSCAR file:
```
Y2BeSb2
1.0
-3.020 3.020 4.158
3.020 -3.020 4.158
3.020 3.020 -4.158
Y Be Sb
2 1 2
direct
0.250 0.750 0.500
0.750 0.250 0.500
0.000 0.000 0.000
0.288 0.288 0.000
0.712 0.712 0.000
```

=====

Record 7
## Y2BeSb (PBE)

Data for a relaxed structure of Y2BeSb.

## Properties
Its space-group type is Amm2. Its formation energy (no corrections) is -0.56 eV/atom. The density of states at the Fermi level is 3.6 states/eV/f.u. The relative energy among the computed polymorphs comes out at 0 meV per atom. Its total magnetization is 0.000 μB per cell.

POSCAR file:
```
Y2BeSb
1.0
4.009 0.000 0.000
0.000 2.178 5.488
0.000 -2.178 5.488
Y Be Sb
2 1 1
direct
0.000 0.000 0.000
0.500 0.292 0.292
0.000 0.730 0.730
0.500 0.583 0.583
```

=====

Record 8
## Y3BeSb (PBE)

Data for a relaxed structure of Y3BeSb.

## Properties
Its space-group type is Pm-3m. Its formation energy (no corrections) is -0.23 eV/atom. The density of states at the Fermi level is 3.3 states/eV/f.u. The relative energy among the computed polymorphs comes out at 0 meV per atom. Its total magnetization is 0.000 μB per cell.

POSCAR file:
```
Y3BeSb
1.0
5.145 0.000 0.000
0.000 5.145 0.000
0.000 0.000 5.145
Y Be Sb
3 1 1
direct
0.000 0.000 0.500
0.000 0.500 0.000
0.500 0.000 0.000
0.000 0.000 0.000
0.500 0.500 0.500
```